(1)
The following is a DFT calculation (GGA-PBE) of a geometry-optimized CsLa2BeBr structure.

a b c (Å): 5.8902 5.8902 4.8338
angles (deg): 90.00 90.00 90.00
With the nearest neighbours (Å) after each atom.
Atoms (fractional coordinates):
Cs1 0.0000 0.0000 0.0000  8 La 3.81, 4 Be 4.16
La1 0.0000 0.5000 0.5000  2 Br 2.95
La2 0.5000 0.0000 0.5000  2 Br 2.95
Be1 0.5000 0.5000 0.0000  2 Br 2.42
Br1 0.5000 0.5000 0.5000  2 Be 2.42

Properties
**Raw formation energy**: 0.392 eV/atom


(2)
The following is a DFT calculation (GGA-PBE) of a geometry-optimized PmErZnSi structure.

a b c (Å): 5.0218 5.0218 5.0218
angles (deg): 60.00 60.00 60.00
With the nearest neighbours (Å) after each atom.
Atoms (fractional coordinates):
Pm1 0.0000 0.0000 0.0000  4 Zn 3.08, 4 Si 3.08
Er1 0.5000 0.5000 0.5000  4 Si 3.08, 4 Zn 3.08
Zn1 0.7500 0.7500 0.7500  4 Er 3.08, 4 Pm 3.08
Si1 0.2500 0.2500 0.2500  4 Er 3.08, 4 Pm 3.08

Properties
**Energy above the most stable polymorph in this dataset**: 100 meV/atom
**Raw formation energy**: -0.444 eV/atom


(3)
The following is a DFT calculation (GGA-PBE) of a geometry-optimized K3HfBi structure.

a b c (Å): 6.7489 6.7489 6.7489
angles (deg): 90.00 90.00 90.00
With the nearest neighbours (Å) after each atom.
Atoms (fractional coordinates):
K1 0.0000 0.0000 0.5000  2 Bi 3.37
K2 0.0000 0.5000 0.0000  2 Bi 3.37
K3 0.5000 0.0000 0.0000  2 Bi 3.37
Hf1 0.5000 0.5000 0.5000  12 K 4.77
Bi1 0.0000 0.0000 0.0000  6 K 3.37

Properties
**Energy above the most stable polymorph in this dataset**: 0 meV/atom
**Calculated formation energy**: 0.93 eV per atom


(4)
The following is a DFT calculation (GGA-PBE) of a geometry-optimized Mn3Tc structure.

a b c (Å): 4.4848 8.2462 5.1268
angles (deg): 90.00 90.00 90.00
With the nearest neighbours (Å) after each atom.
Atoms (fractional coordinates):
Mn1 0.0812 0.2500 0.1275  8 Mn 2.45-2.59, 4 Tc 2.51-2.62
Mn2 0.2350 0.5082 0.8735  9 Mn 2.45-2.71, 3 Tc 2.50-2.62
Mn3 0.2350 0.9918 0.8735  9 Mn 2.45-2.71, 3 Tc 2.50-2.62
Mn4 0.2650 0.0082 0.3735  9 Mn 2.45-2.71, 3 Tc 2.50-2.62
Mn5 0.2650 0.4918 0.3735  9 Mn 2.45-2.71, 3 Tc 2.50-2.62
Mn6 0.4188 0.7500 0.6275  8 Mn 2.45-2.59, 4 Tc 2.51-2.62
Mn7 0.5812 0.2500 0.3725  8 Mn 2.45-2.59, 4 Tc 2.51-2.62
Mn8 0.7350 0.5082 0.6265  9 Mn 2.45-2.71, 3 Tc 2.50-2.62
Mn9 0.7350 0.9918 0.6265  9 Mn 2.45-2.71, 3 Tc 2.50-2.62
Mn10 0.7650 0.0082 0.1265  9 Mn 2.45-2.71, 3 Tc 2.50-2.62
Mn11 0.7650 0.4918 0.1265  9 Mn 2.45-2.71, 3 Tc 2.50-2.62
Mn12 0.9188 0.7500 0.8725  8 Mn 2.45-2.59, 4 Tc 2.51-2.62
Tc1 0.0740 0.2500 0.6165  10 Mn 2.50-2.62, 2 Tc 2.63
Tc2 0.4260 0.7500 0.1165  10 Mn 2.50-2.62, 2 Tc 2.63
Tc3 0.5740 0.2500 0.8835  10 Mn 2.50-2.62, 2 Tc 2.63
Tc4 0.9260 0.7500 0.3835  10 Mn 2.50-2.62, 2 Tc 2.63

Properties
**Calculated formation energy**: 0.08 eV per atom


(5)
The following is a DFT calculation (GGA-PBE) of a geometry-optimized NaAc4Co2 structure.

a b c (Å): 9.9506 9.9506 7.3320
angles (deg): 110.38 110.38 24.58
With the nearest neighbours (Å) after each atom.
Atoms (fractional coordinates):
Na1 0.0000 0.0000 0.0000  6 Ac 3.88-3.92, 2 Na 4.24
Ac1 0.1638 0.1638 0.5029  3 Co 2.88-2.89
Ac2 0.3319 0.3319 0.9935  3 Co 2.88
Ac3 0.6681 0.6681 0.0065  3 Co 2.88
Ac4 0.8362 0.8362 0.4971  3 Co 2.88-2.89
Co1 0.2510 0.2510 0.2550  6 Ac 2.88-2.89
Co2 0.7490 0.7490 0.7450  6 Ac 2.88-2.89

Properties
**Calculated formation energy**: 0.04 eV per atom


(6)
The following is a DFT calculation (GGA-PBE) of a geometry-optimized Ba2Cd3Si structure.

a b c (Å): 9.8641 9.6578 6.7399
angles (deg): 71.46 68.17 40.38
With the nearest neighbours (Å) after each atom.
Atoms (fractional coordinates):
Ba1 0.2369 0.7631 0.7631  10 Cd 3.66-3.70, 2 Si 3.69
Ba2 0.2500 0.2500 0.2500  8 Cd 3.60-3.61, 4 Si 3.67
Ba3 0.7500 0.7500 0.7500  8 Cd 3.60-3.61, 4 Si 3.67
Ba4 0.7631 0.2369 0.2369  10 Cd 3.66-3.70, 2 Si 3.69
Cd1 0.1746 0.1746 0.8254  1 Si 2.74, 2 Cd 3.02
Cd2 0.1775 0.6501 0.3499  1 Si 2.70, 2 Cd 2.94-3.02
Cd3 0.3499 0.8225 0.1775  1 Si 2.70, 2 Cd 2.94-3.02
Cd4 0.6501 0.1775 0.8225  1 Si 2.70, 2 Cd 2.94-3.02
Cd5 0.8225 0.3499 0.6501  1 Si 2.70, 2 Cd 2.94-3.02
Cd6 0.8254 0.8254 0.1746  1 Si 2.74, 2 Cd 3.02
Si1 0.3353 0.3353 0.6647  3 Cd 2.70-2.74
Si2 0.6647 0.6647 0.3353  3 Cd 2.70-2.74

Properties
**Raw formation energy**: -0.302 eV/atom


(7)
The following is a DFT calculation (GGA-PBE) of a geometry-optimized BaTa2Tl2Se7 structure.

a b c (Å): 11.4139 11.4139 11.4139
angles (deg): 36.77 36.77 36.77
With the nearest neighbours (Å) after each atom.
Atoms (fractional coordinates):
Ba1 0.0000 0.0000 0.0000  6 Se 3.32
Ta1 0.4227 0.4227 0.4227  4 Se 2.39-2.47
Ta2 0.5773 0.5773 0.5773  4 Se 2.39-2.47
Tl1 0.2050 0.2050 0.2050  3 Se 3.11
Tl2 0.7950 0.7950 0.7950  3 Se 3.11
Se1 0.0736 0.4216 0.6987  1 Ta 2.39
Se2 0.3013 0.5784 0.9264  1 Ta 2.39
Se3 0.4216 0.6987 0.0736  1 Ta 2.39
Se4 0.5000 0.5000 0.5000  2 Ta 2.47
Se5 0.5784 0.9264 0.3013  1 Ta 2.39
Se6 0.6987 0.0736 0.4216  1 Ta 2.39
Se7 0.9264 0.3013 0.5784  1 Ta 2.39

Properties
**Raw formation energy**: -0.784 eV/atom


(8)
The following is a DFT calculation (GGA-PBE) of a geometry-optimized PmZn9Ag2 structure.

a b c (Å): 8.8712 8.8712 8.8712
angles (deg): 34.51 34.51 34.51
With the nearest neighbours (Å) after each atom.
Atoms (fractional coordinates):
Pm1 0.0000 0.0000 0.0000  6 Zn 3.04
Zn1 0.0807 0.5901 0.5901  7 Zn 2.52-2.68
Zn2 0.3338 0.3338 0.3338  6 Zn 2.65-2.66
Zn3 0.4099 0.4099 0.9193  7 Zn 2.52-2.68
Zn4 0.4099 0.9193 0.4099  7 Zn 2.52-2.68
Zn5 0.5000 0.5000 0.5000  6 Zn 2.52
Zn6 0.5901 0.0807 0.5901  7 Zn 2.52-2.68
Zn7 0.5901 0.5901 0.0807  7 Zn 2.52-2.68
Zn8 0.6662 0.6662 0.6662  6 Zn 2.65-2.66
Zn9 0.9193 0.4099 0.4099  7 Zn 2.52-2.68
Ag1 0.1378 0.1378 0.1378  12 Zn 2.92-3.12
Ag2 0.8622 0.8622 0.8622  12 Zn 2.92-3.12

Properties
**Energy above the most stable polymorph in this dataset**: 0 meV/atom
**Calculated formation energy**: -0.14 eV per atom


(9)
The following is a DFT calculation (GGA-PBE) of a geometry-optimized ErAsS structure.

a b c (Å): 8.9117 8.9117 8.9117
angles (deg): 155.39 155.39 35.08
With the nearest neighbours (Å) after each atom.
Atoms (fractional coordinates):
Er1 0.1466 0.1466 0.0000  5 S 2.77-2.82
Er2 0.8534 0.8534 0.0000  5 S 2.77-2.82
As1 0.0000 0.5000 0.5000  4 As 2.69
As2 0.5000 0.0000 0.5000  4 As 2.69
S1 0.3125 0.3125 0.0000  5 Er 2.77-2.82
S2 0.6875 0.6875 0.0000  5 Er 2.77-2.82

Properties
**Raw formation energy**: -1.520 eV/atom


(10)
The following is a DFT calculation (GGA-PBE) of a geometry-optimized Li3Mg6Cd structure.

a b c (Å): 8.1961 5.0675 10.9422
angles (deg): 90.00 110.65 90.00
With the nearest neighbours (Å) after each atom.
Atoms (fractional coordinates):
Li1 0.0983 0.2500 0.2286  8 Mg 3.01-3.13, 3 Li 3.17-3.18, 1 Cd 3.19
Li2 0.2978 0.2500 0.0270  11 Mg 3.07-3.15, 1 Li 3.18
Li3 0.3131 0.7500 0.3737  9 Mg 3.03-3.18, 2 Li 3.17, 1 Cd 3.19
Li4 0.6869 0.2500 0.6263  9 Mg 3.03-3.18, 2 Li 3.17, 1 Cd 3.19
Li5 0.7022 0.7500 0.9730  11 Mg 3.07-3.15, 1 Li 3.18
Li6 0.9017 0.7500 0.7714  8 Mg 3.01-3.13, 3 Li 3.17-3.18, 1 Cd 3.19
Mg1 0.0816 0.2500 0.7247  4 Li 3.03-3.15, 3 Cd 3.08, 5 Mg 3.09-3.23
Mg2 0.1031 0.7500 0.0730  7 Li 3.06-3.13, 5 Mg 3.07-3.15
Mg3 0.2899 0.2500 0.5235  4 Li 3.05-3.06, 3 Cd 3.06-3.08, 5 Mg 3.13-3.23
Mg4 0.2944 0.7500 0.8683  4 Li 3.01-3.13, 1 Cd 3.04, 7 Mg 3.10-3.21
Mg5 0.4923 0.2500 0.3281  5 Li 3.02-3.11, 1 Cd 3.06, 6 Mg 3.11-3.21
Mg6 0.4966 0.2500 0.8340  8 Mg 3.07-3.22, 4 Li 3.09-3.18
Mg7 0.5034 0.7500 0.1660  8 Mg 3.07-3.22, 4 Li 3.09-3.18
Mg8 0.5077 0.7500 0.6719  5 Li 3.02-3.11, 1 Cd 3.06, 6 Mg 3.11-3.21
Mg9 0.7056 0.2500 0.1317  4 Li 3.01-3.13, 1 Cd 3.04, 7 Mg 3.10-3.21
Mg10 0.7101 0.7500 0.4765  4 Li 3.05-3.06, 3 Cd 3.06-3.08, 5 Mg 3.13-3.23
Mg11 0.8969 0.2500 0.9270  7 Li 3.06-3.13, 5 Mg 3.07-3.15
Mg12 0.9184 0.7500 0.2753  4 Li 3.03-3.15, 3 Cd 3.08, 5 Mg 3.09-3.23
Cd1 0.1086 0.7500 0.5734  8 Mg 3.04-3.08, 2 Cd 3.19, 2 Li 3.19
Cd2 0.8914 0.2500 0.4266  8 Mg 3.04-3.08, 2 Cd 3.19, 2 Li 3.19

Properties
**Energy above the most stable polymorph in this dataset**: 0 meV/atom
**Calculated formation energy**: -0.06 eV per atom


(11)
The following is a DFT calculation (GGA-PBE) of a geometry-optimized Ni2GeH2 structure.

a b c (Å): 5.8310 5.8310 2.6043
angles (deg): 90.00 90.00 90.00
With the nearest neighbours (Å) after each atom.
Atoms (fractional coordinates):
Ni1 0.1600 0.3400 0.0000  4 H 1.92
Ni2 0.3400 0.8400 0.0000  4 H 1.92
Ni3 0.6600 0.1600 0.0000  4 H 1.92
Ni4 0.8400 0.6600 0.0000  4 H 1.92
Ge1 0.0000 0.0000 0.5000  8 Ni 2.55, 4 H 2.59, 2 Ge 2.60
Ge2 0.5000 0.5000 0.5000  8 Ni 2.55, 4 H 2.59, 2 Ge 2.60
H1 0.0596 0.5596 0.5000  1 H 0.98
H2 0.4404 0.0596 0.5000  1 H 0.98
H3 0.5596 0.9404 0.5000  1 H 0.98
H4 0.9404 0.4404 0.5000  1 H 0.98

Properties
**Energy above the most stable polymorph in this dataset**: 261 meV/atom


(12)
The following is a DFT calculation (GGA-PBE) of a geometry-optimized SmMgP2 structure.

a b c (Å): 6.5317 6.5317 6.5317
angles (deg): 36.38 36.38 36.38
With the nearest neighbours (Å) after each atom.
Atoms (fractional coordinates):
Sm1 0.0000 0.0000 0.0000  6 P 2.86
Mg1 0.5000 0.5000 0.5000  6 P 2.75
P1 0.2442 0.2442 0.2442  3 Mg 2.75, 3 Sm 2.86
P2 0.7558 0.7558 0.7558  3 Mg 2.75, 3 Sm 2.86

Properties
**Calculated formation energy**: -0.83 eV per atom


no.,size of the total moment (Bohr magnetons per cell)
1,0.00
2,0.00
3,2.00
4,0.26
5,0.00
6,0.00
7,0.00
8,0.00
9,0.00
10,0.00
11,0.00
12,0.00